--- i ---
MgVSe GGA-PBE optimized geometry; size of the total moment = 0.00 μB/atom; space group = Cm; DOS(E_F) = 0.8 states/eV/cell
1.0
11.2129 0.0000 0.0000
0.0000 3.5088 0.0000
-2.3592 0.0000 6.1261
Mg V Se
4 4 4
Direct
0.0000 0.0000 0.0000 Mg
0.2080 0.5000 0.3479 Mg
0.5000 0.5000 0.0000 Mg
0.7080 0.0000 0.3479 Mg
0.0422 0.0000 0.4927 V
0.2139 0.0000 0.7037 V
0.5422 0.5000 0.4927 V
0.7139 0.5000 0.7037 V
0.2472 0.5000 0.9860 Se
0.4228 0.0000 0.6303 Se
0.7472 0.0000 0.9860 Se
0.9228 0.5000 0.6303 Se

=====

--- ii ---
MgVSe GGA-PBE optimized geometry; size of the total moment = 0.00 μB/atom; space group = Cm
1.0
12.3839 0.0000 0.0000
0.0000 3.5555 0.0000
-1.8293 0.0000 5.5653
Mg V Se
4 4 4
Direct
0.0000 0.0000 0.0000 Mg
0.1814 0.5000 0.9135 Mg
0.5000 0.5000 0.0000 Mg
0.6814 0.0000 0.9135 Mg
0.0444 0.0000 0.5507 V
0.3869 0.5000 0.4028 V
0.5444 0.5000 0.5507 V
0.8869 0.0000 0.4028 V
0.1538 0.5000 0.3881 Se
0.3514 0.0000 0.0764 Se
0.6538 0.0000 0.3881 Se
0.8514 0.5000 0.0764 Se

=====

--- iii ---
MgVSe GGA-PBE optimized geometry; size of the total moment = 0.00 μB/atom; space group = C2/m; DOS(E_F) = 2.0 states/eV/cell
1.0
10.0565 0.0000 0.0000
0.0000 4.6533 0.0000
-4.3040 0.0000 5.0781
Mg V Se
4 4 4
Direct
0.2365 0.0000 0.3383 Mg
0.2635 0.5000 0.6617 Mg
0.7365 0.5000 0.3383 Mg
0.7635 0.0000 0.6617 Mg
0.0511 0.5000 0.9141 V
0.4489 0.0000 0.0859 V
0.5511 0.0000 0.9141 V
0.9489 0.5000 0.0859 V
0.0957 0.0000 0.8315 Se
0.4043 0.5000 0.1685 Se
0.5957 0.5000 0.8315 Se
0.9043 0.0000 0.1685 Se

=====

--- iv ---
MgVSe GGA-PBE optimized geometry; size of the total moment = 0.00 μB/atom; space group = C2; DOS(E_F) = 9.3 states/eV/cell
1.0
9.6040 0.0000 0.0000
0.0000 6.5867 0.0000
-1.3112 0.0000 3.6669
Mg V Se
4 4 4
Direct
0.1532 0.0000 0.4112 Mg
0.3468 0.5000 0.5888 Mg
0.6532 0.5000 0.4112 Mg
0.8468 0.0000 0.5888 Mg
0.0685 0.6642 0.8608 V
0.4315 0.1642 0.1392 V
0.5685 0.1642 0.8608 V
0.9315 0.6642 0.1392 V
0.1708 0.3109 0.9352 Se
0.3292 0.8109 0.0648 Se
0.6708 0.8109 0.9352 Se
0.8292 0.3109 0.0648 Se

=====

Which structure is most stable? i, by 9 meV per atom over the runner-up.